Record 1
Computed, not measured: crystalline Cs2NdGaTe4 at its relaxed geometry at the PBE level of DFT.

The structure in POSCAR format:
```
Cs2NdGaTe4
1.0
7.6323 0.0000 0.0000
3.8161 6.6276 0.0000
3.8161 0.0000 6.6276
Te Ga Cs Nd
4 1 2 1
direct
0.8774 0.0000 0.6742
0.1226 0.3258 0.0000
0.5516 0.0000 0.3258
0.4484 0.6742 0.0000
0.5000 0.0000 0.0000
0.0000 0.5000 0.5000
0.5000 0.5000 0.5000
0.0000 0.0000 0.0000
```

Output
Total moment ... 0.0 Bohr magnetons per cell
E_form (uncorrected) ... -0.968 eV/atom

=====

Record 2
Computed, not measured: crystalline CsGa2Ni2 at its relaxed geometry at the PBE level of DFT.

The structure in POSCAR format:
```
CsGa2Ni2
1.0
4.5145 0.0000 0.0000
0.0000 4.5145 0.0000
2.2573 2.2573 6.5064
Cs Ga Ni
1 2 2
direct
0.0000 0.0000 0.0000
0.2973 0.2973 0.4054
0.7027 0.7027 0.5946
0.7500 0.2500 0.5000
0.2500 0.7500 0.5000
```

Output
Total moment ... 0.0 Bohr magnetons per cell
Energy of formation ... -0.02 eV/atom
Energy above the most stable polymorph in this dataset ... 0.000 eV/atom

=====

Record 3
Computed, not measured: crystalline CsGa3Ni at its relaxed geometry at the PBE level of DFT.

The structure in POSCAR format:
```
CsGa3Ni
1.0
5.9554 0.0000 0.0000
0.0000 5.9554 0.0000
0.0000 0.0000 5.9554
Ga Ni Cs
3 1 1
direct
0.0000 0.5000 0.0000
0.0000 0.0000 0.5000
0.5000 0.0000 0.0000
0.5000 0.5000 0.5000
0.0000 0.0000 0.0000
```

Output
Total moment ... 0.0 Bohr magnetons per cell
Energy of formation ... 1.79 eV/atom
Energy above the most stable polymorph in this dataset ... 1.777 eV/atom

=====

Record 4
Computed, not measured: crystalline CsGa2Ni at its relaxed geometry at the PBE level of DFT.

The structure in POSCAR format:
```
CsGa2Ni
1.0
0.0000 3.6534 3.6534
3.6534 0.0000 3.6534
3.6534 3.6534 0.0000
Ni Ga Cs
1 2 1
direct
0.0000 0.0000 0.0000
0.7500 0.7500 0.7500
0.2500 0.2500 0.2500
0.5000 0.5000 0.5000
```

Output
Total moment ... 0.0 Bohr magnetons per cell
Energy of formation ... 0.70 eV/atom

=====

Record 5
Computed, not measured: crystalline CsGa3Ni at its relaxed geometry at the PBE level of DFT.

The structure in POSCAR format:
```
CsGa3Ni
1.0
4.8761 0.0000 0.0000
0.0000 4.8761 0.0000
0.0000 0.0000 4.8761
Ga Cs Ni
3 1 1
direct
0.0000 0.0000 0.5000
0.5000 0.0000 0.0000
0.0000 0.5000 0.0000
0.5000 0.5000 0.5000
0.0000 0.0000 0.0000
```

Output
Total moment ... 0.0 Bohr magnetons per cell
Energy of formation ... 0.01 eV/atom
Energy above the most stable polymorph in this dataset ... 0.000 eV/atom

=====

Record 6
Computed, not measured: crystalline CsGa2Ni at its relaxed geometry at the PBE level of DFT.

The structure in POSCAR format:
```
CsGa2Ni
1.0
7.0104 0.0000 0.0000
0.0000 7.0104 0.0000
3.5052 3.5052 5.5155
Cs Ga Ni
2 4 2
direct
0.7500 0.2500 0.5000
0.0000 0.0000 0.0000
0.3745 0.6250 0.2500
0.8750 0.6255 0.7500
0.3755 0.1250 0.2500
0.3750 0.6245 0.7500
0.5000 0.5000 0.0000
0.2500 0.7500 0.5000
```

Output
Total moment ... 0.0 Bohr magnetons per cell
Energy of formation ... -0.06 eV/atom

=====

Record 7
Computed, not measured: crystalline Cs3GaNi at its relaxed geometry at the PBE level of DFT.

The structure in POSCAR format:
```
Cs3GaNi
1.0
6.9560 0.0000 0.0000
0.0000 6.9560 0.0000
0.0000 0.0000 6.9560
Cs Ga Ni
3 1 1
direct
0.0000 0.0000 0.5000
0.5000 0.0000 0.0000
0.0000 0.5000 0.0000
0.0000 0.0000 0.0000
0.5000 0.5000 0.5000
```

Output
Total moment ... 0.9 Bohr magnetons per cell
Energy of formation ... 0.75 eV/atom

=====

Question: total moment of number 7 (Cs3GaNi)?
Answer: 0.9 Bohr magnetons per cell